Density functional theory data (PBE-GGA) for a relaxed structure of TaMnBr.

Structure (POSCAR):
```
TaMnBr
1.0
-4.609 4.144 2.537
-5.882 1.293 2.246
0.738 0.605 2.987
Ta Mn Br
1 1 1
Direct
0.685 0.685 0.315 Ta
0.313 0.313 0.687 Mn
0.002 0.002 0.998 Br
```

* space-group type: Fmm2, No. 42
* raw total energy: -7.1243 eV/atom

=====

Density functional theory data (PBE-GGA) for a relaxed structure of Ta2MnBr.

Structure (POSCAR):
```
Ta2MnBr
1.0
3.035 0.113 0.000
-1.168 2.803 0.000
0.000 0.000 8.590
Br Mn Ta
1 1 2
Direct
0.000 0.000 0.504 Br
0.500 0.500 0.759 Mn
0.500 0.500 0.243 Ta
0.000 0.000 0.994 Ta
```

* space-group type: Cmm2, No. 35
* raw total energy: -8.3200 eV/atom

=====

Density functional theory data (PBE-GGA) for a relaxed structure of TaMnBr2.

Structure (POSCAR):
```
TaMnBr2
1.0
-1.203 -6.736 4.511
-1.662 -7.998 -0.664
4.026 7.002 -1.389
Br Mn Ta
2 1 1
Direct
0.888 0.888 0.000 Br
0.612 0.612 0.000 Br
0.250 0.750 0.500 Mn
0.750 0.250 0.500 Ta
```

* space-group type: Immm, No. 71
* raw total energy: -6.0797 eV/atom

=====

Density functional theory data (PBE-GGA) for a relaxed structure of Ta2MnBr.

Structure (POSCAR):
```
Ta2MnBr
1.0
-2.946 1.513 3.722
-1.737 -1.199 4.513
2.761 2.231 3.426
Br Ta Mn
1 2 1
Direct
0.526 0.526 0.540 Br
0.765 0.765 0.707 Ta
0.957 0.957 0.060 Ta
0.252 0.252 0.194 Mn
```

* space-group type: Cm, No. 8
* raw total energy: -8.1033 eV/atom

=====

Density functional theory data (PBE-GGA) for a relaxed structure of Ta2MnBr.

Structure (POSCAR):
```
Ta2MnBr
1.0
9.191 -0.006 -0.003
8.641 3.129 -0.003
8.641 1.514 2.739
Ta Br Mn
2 1 1
Direct
0.001 0.001 0.001 Ta
0.251 0.251 0.251 Ta
0.511 0.511 0.511 Br
0.736 0.736 0.736 Mn
```

* space-group type: R3m, No. 160
* raw total energy: -8.3431 eV/atom

=====

Density functional theory data (PBE-GGA) for a relaxed structure of TaMnBr2.

Structure (POSCAR):
```
TaMnBr2
1.0
-1.535 2.354 -1.811
-0.619 -3.278 -0.219
-7.028 0.855 7.068
Mn Ta Br
1 1 2
Direct
0.500 0.500 0.250 Mn
0.500 0.500 0.750 Ta
0.000 0.000 0.965 Br
0.000 0.000 0.535 Br
```

* space-group type: Cmmm, No. 65
* raw total energy: -5.6546 eV/atom

=====

Density functional theory data (PBE-GGA) for a relaxed structure of TaMnBr.

Structure (POSCAR):
```
TaMnBr
1.0
-0.845 1.647 -2.699
-1.582 -2.751 0.801
-3.985 3.229 3.218
Br Mn Ta
1 1 1
Direct
0.000 0.000 0.991 Br
0.667 0.333 0.377 Mn
0.333 0.667 0.632 Ta
```

* space-group type: P3m1, No. 156
* raw total energy: -7.2951 eV/atom

=====

Density functional theory data (PBE-GGA) for a relaxed structure of Ta2MnBr.

Structure (POSCAR):
```
Ta2MnBr
1.0
5.353 -0.019 0.000
2.606 4.676 0.000
-3.979 -2.329 2.720
Br Mn Ta
1 1 2
Direct
0.500 0.500 0.000 Br
0.750 0.250 0.500 Mn
0.250 0.750 0.500 Ta
0.000 0.000 0.000 Ta
```

* space-group type: I-4m2, No. 119
* raw total energy: -7.7897 eV/atom

=====

Density functional theory data (PBE-GGA) for a relaxed structure of Ta2MnBr.

Structure (POSCAR):
```
Ta2MnBr
1.0
-2.350 4.006 0.340
-1.924 1.233 4.057
1.781 3.544 2.440
Ta Mn Br
2 1 1
Direct
0.250 0.250 0.250 Ta
0.000 0.000 0.000 Ta
0.750 0.750 0.750 Mn
0.500 0.500 0.500 Br
```

* space-group type: F-43m, No. 216
* raw total energy: -7.6727 eV/atom

=====

Density functional theory data (PBE-GGA) for a relaxed structure of TaMnBr2.

Structure (POSCAR):
```
TaMnBr2
1.0
-3.642 2.435 2.212
0.425 -1.647 4.603
3.568 1.943 -2.752
Mn Br Ta
1 2 1
Direct
0.250 0.750 0.500 Mn
0.000 0.000 0.000 Br
0.500 0.500 0.000 Br
0.750 0.250 0.500 Ta
```

* space-group type: I4/mmm, No. 139
* raw total energy: -5.3730 eV/atom

=====

Density functional theory data (PBE-GGA) for a relaxed structure of Ta2MnBr.

Structure (POSCAR):
```
Ta2MnBr
1.0
-0.812 -4.501 1.115
1.782 -1.140 -3.302
3.427 -0.147 1.901
Br Mn Ta
1 1 2
Direct
0.500 0.500 0.000 Br
0.500 0.000 0.500 Mn
0.000 0.500 0.500 Ta
0.000 0.000 0.000 Ta
```

* space-group type: P4/mmm, No. 123
* raw total energy: -7.8175 eV/atom

=====

Density functional theory data (PBE-GGA) for a relaxed structure of TaMnBr.

Structure (POSCAR):
```
TaMnBr
1.0
7.109 0.026 0.000
5.775 4.146 0.000
-6.442 -2.086 2.165
Mn Ta Br
1 1 1
Direct
0.297 0.297 0.000 Mn
0.669 0.669 0.000 Ta
0.034 0.034 0.000 Br
```

* space-group type: I4mm, No. 107
* raw total energy: -7.1529 eV/atom

=====

Density functional theory data (PBE-GGA) for a relaxed structure of TaMnBr3.

Structure (POSCAR):
```
TaMnBr3
1.0
4.773 0.000 0.000
0.000 4.773 0.000
0.000 0.000 4.773
Br Mn Ta
3 1 1
Direct
0.000 0.000 0.500 Br
0.000 0.500 0.000 Br
0.500 0.000 0.000 Br
0.000 0.000 0.000 Mn
0.500 0.500 0.500 Ta
```

* space-group type: Pm-3m, No. 221
* raw total energy: -4.0263 eV/atom

=====

Density functional theory data (PBE-GGA) for a relaxed structure of Ta2MnBr.

Structure (POSCAR):
```
Ta2MnBr
1.0
-3.652 -2.689 -0.407
-3.563 0.563 2.780
-3.905 1.693 -1.618
Ta Br Mn
2 1 1
Direct
0.750 0.750 0.750 Ta
0.250 0.250 0.250 Ta
0.500 0.500 0.500 Br
0.000 0.000 0.000 Mn
```

* space-group type: Fm-3m, No. 225
* raw total energy: -7.9118 eV/atom

=====

Density functional theory data (PBE-GGA) for a relaxed structure of Ta4MnBr.

Structure (POSCAR):
```
Ta4MnBr
1.0
0.000 3.918 3.918
3.918 0.000 3.918
3.918 3.918 0.000
Ta Br Mn
4 1 1
Direct
0.373 0.373 0.373 Ta
0.373 0.373 0.880 Ta
0.880 0.373 0.373 Ta
0.373 0.880 0.373 Ta
0.750 0.750 0.750 Br
0.000 0.000 0.000 Mn
```

* space-group type: F-43m, No. 216
* raw total energy: -8.8188 eV/atom

=====

Density functional theory data (PBE-GGA) for a relaxed structure of TaMnBr2.

Structure (POSCAR):
```
TaMnBr2
1.0
-2.729 3.740 -1.432
-0.890 0.685 -4.714
-4.446 -0.780 -1.765
Mn Br Ta
1 2 1
Direct
0.500 0.500 0.500 Mn
0.000 0.000 0.000 Br
0.250 0.250 0.250 Br
0.750 0.750 0.750 Ta
```

* space-group type: F-43m, No. 216
* raw total energy: -5.1555 eV/atom

=====

Density functional theory data (PBE-GGA) for a relaxed structure of Ta2MnBr.

Structure (POSCAR):
```
Ta2MnBr
1.0
3.020 0.059 0.000
-0.057 3.020 0.000
0.000 0.000 7.365
Ta Br Mn
2 1 1
Direct
0.000 0.000 0.540 Ta
0.000 0.000 0.960 Ta
0.500 0.500 0.250 Br
0.500 0.500 0.750 Mn
```

* space-group type: P4/mmm, No. 123
* raw total energy: -8.3747 eV/atom

=====

Density functional theory data (PBE-GGA) for a relaxed structure of Ta2MnBr.

Structure (POSCAR):
```
Ta2MnBr
1.0
-3.796 0.698 3.811
-3.958 -3.705 0.180
5.350 0.818 0.351
Ta Br Mn
2 1 1
Direct
0.496 0.496 0.000 Ta
0.004 0.004 0.000 Ta
0.750 0.250 0.500 Br
0.250 0.750 0.500 Mn
```

* space-group type: Immm, No. 71
* raw total energy: -7.9993 eV/atom

=====

Density functional theory data (PBE-GGA) for a relaxed structure of Ta2MnBr.

Structure (POSCAR):
```
Ta2MnBr
1.0
3.229 0.000 0.000
0.000 4.708 0.000
0.000 0.000 4.697
Ta Mn Br
2 1 1
Direct
0.500 0.500 0.000 Ta
0.000 0.000 0.000 Ta
0.000 0.500 0.500 Mn
0.500 0.000 0.500 Br
```

* space-group type: Pmmm, No. 47
* raw total energy: -7.9443 eV/atom

=====

Density functional theory data (PBE-GGA) for a relaxed structure of TaMnBr2.

Structure (POSCAR):
```
TaMnBr2
1.0
-1.371 1.900 -2.125
0.244 -2.272 -2.188
-7.965 -3.118 2.351
Ta Mn Br
1 1 2
Direct
0.500 0.500 0.727 Ta
0.000 0.000 0.517 Mn
0.500 0.500 0.333 Br
0.000 0.000 0.923 Br
```

* space-group type: P4mm, No. 99
* raw total energy: -6.0877 eV/atom

=====

Density functional theory data (PBE-GGA) for a relaxed structure of Ta2MnBr8.

Structure (POSCAR):
```
Ta2MnBr8
1.0
7.373 0.164 0.125
0.166 7.571 0.368
0.166 2.393 7.192
Br Ta Mn
8 2 1
Direct
0.299 0.868 0.868 Br
0.701 0.132 0.132 Br
0.815 0.166 0.670 Br
0.185 0.834 0.330 Br
0.815 0.670 0.166 Br
0.185 0.330 0.834 Br
0.670 0.711 0.711 Br
0.330 0.289 0.289 Br
0.639 0.914 0.914 Ta
0.361 0.086 0.086 Ta
0.000 0.000 0.000 Mn
```

* space-group type: C2/m, No. 12
* raw total energy: -4.8129 eV/atom

=====

Density functional theory data (PBE-GGA) for a relaxed structure of Ta2MnTlBr.

Structure (POSCAR):
```
Ta2MnTlBr
1.0
-4.449 -2.245 -1.534
1.643 -4.732 2.158
-2.219 1.298 4.536
Ta Mn Tl Br
2 1 1 1
Direct
0.000 0.000 0.500 Ta
0.500 0.000 0.000 Ta
0.500 0.500 0.500 Mn
0.000 0.000 0.000 Tl
0.000 0.500 0.000 Br
```

* space-group type: P4/mmm, No. 123
* raw total energy: -4.5257 eV/atom

=====

Density functional theory data (PBE-GGA) for a relaxed structure of TaMnV2Br.

Structure (POSCAR):
```
TaMnV2Br
1.0
4.692 0.000 0.000
0.000 5.001 0.000
0.000 0.000 4.692
V Br Mn Ta
2 1 1 1
Direct
0.000 0.000 0.500 V
0.500 0.000 0.000 V
0.000 0.500 0.000 Br
0.500 0.500 0.500 Mn
0.000 0.000 0.000 Ta
```

* space-group type: P4/mmm, No. 123
* raw total energy: -6.1657 eV/atom

=====

Density functional theory data (PBE-GGA) for a relaxed structure of Tb7MnBr12.

Structure (POSCAR):
```
Tb7MnBr12
1.0
-9.175 -1.257 -0.183
3.638 -7.357 4.294
1.602 7.341 5.416
Br Tb Mn
12 7 1
Direct
0.427 0.819 0.280 Br
0.720 0.573 0.181 Br
0.333 0.117 0.038 Br
0.667 0.883 0.962 Br
0.117 0.038 0.333 Br
0.280 0.427 0.819 Br
0.962 0.667 0.883 Br
0.038 0.333 0.117 Br
0.819 0.280 0.427 Br
0.181 0.720 0.573 Br
0.883 0.962 0.667 Br
0.573 0.181 0.720 Br
0.598 0.521 0.802 Tb
0.521 0.802 0.598 Tb
0.479 0.198 0.402 Tb
0.402 0.479 0.198 Tb
0.000 0.000 0.000 Tb
0.198 0.402 0.479 Tb
0.802 0.598 0.521 Tb
0.500 0.500 0.500 Mn
```

* space-group type: R-3, No. 148
* raw total energy: -4.5865 eV/atom

=====

Density functional theory data (PBE-GGA) for a relaxed structure of Mn2TcBr.

Structure (POSCAR):
```
Mn2TcBr
1.0
0.000 3.008 3.008
3.008 0.000 3.008
3.008 3.008 0.000
Mn Tc Br
2 1 1
Direct
0.250 0.250 0.250 Mn
0.750 0.750 0.750 Mn
0.500 0.500 0.500 Tc
0.000 0.000 0.000 Br
```

* space-group type: Fm-3m, No. 225
* raw total energy: -6.4965 eV/atom

=====

Density functional theory data (PBE-GGA) for a relaxed structure of Mn2TcBr.

Structure (POSCAR):
```
Mn2TcBr
1.0
-1.163 -4.142 0.465
2.908 -3.145 -0.610
1.451 -2.289 3.373
Tc Mn Br
1 2 1
Direct
0.750 0.750 0.750 Tc
0.000 0.000 0.000 Mn
0.250 0.250 0.250 Mn
0.500 0.500 0.500 Br
```

* space-group type: F-43m, No. 216
* raw total energy: -6.7107 eV/atom

=====

Density functional theory data (PBE-GGA) for a relaxed structure of Mn2TcBr.

Structure (POSCAR):
```
Mn2TcBr
1.0
-0.517 -2.809 1.105
1.700 -1.218 -2.299
6.087 0.539 4.219
Tc Mn Br
1 2 1
Direct
0.500 0.250 0.250 Tc
0.000 0.750 0.455 Mn
0.000 0.750 0.045 Mn
0.500 0.750 0.750 Br
```

* space-group type: Pmmm, No. 47
* raw total energy: -7.2958 eV/atom

=====

Density functional theory data (PBE-GGA) for a relaxed structure of MnTcBr6.

Structure (POSCAR):
```
MnTcBr6
1.0
7.062 -0.823 -0.738
-2.924 6.481 -0.738
0.887 1.213 6.237
Br Tc Mn
6 1 1
Direct
0.001 0.715 0.768 Br
0.713 0.713 0.243 Br
0.285 0.999 0.232 Br
0.999 0.285 0.232 Br
0.287 0.287 0.757 Br
0.715 0.001 0.768 Br
0.000 0.000 0.000 Tc
0.000 0.000 0.500 Mn
```

* space-group type: C2/m, No. 12
* raw total energy: -4.2116 eV/atom

=====

Density functional theory data (PBE-GGA) for a relaxed structure of Mn2TcBr.

Structure (POSCAR):
```
Mn2TcBr
1.0
-4.363 -2.277 -1.808
-0.318 -1.282 -5.074
3.361 -0.602 3.979
Br Mn Tc
1 2 1
Direct
0.750 0.250 0.500 Br
0.000 0.000 0.000 Mn
0.250 0.750 0.500 Mn
0.500 0.500 0.000 Tc
```

* space-group type: I-4m2, No. 119
* raw total energy: -6.7574 eV/atom